[1]
Computed, not measured: an optimized crystal structure of AcPmTlGe at the PBE level of DFT.

Output
As for the energy of formation: -0.4110 eV/atom. The value obtained for the total magnetization is 0.00 μB per formula unit.

a = 5.5206 Å, b = 5.5206 Å, c = 5.5206 Å
α = 60.00°, β = 60.00°, γ = 60.00°
Last column: nearest neighbours and their distance in Å.
Positions (direct):
1 Pm 0.0000 0.0000 0.0000  4 Ge 3.38, 4 Tl 3.38
2 Tl 0.7500 0.7500 0.7500  4 Ac 3.38, 4 Pm 3.38
3 Ge 0.2500 0.2500 0.2500  4 Ac 3.38, 4 Pm 3.38
4 Ac 0.5000 0.5000 0.5000  4 Tl 3.38, 4 Ge 3.38

---

[2]
Computed, not measured: an optimized crystal structure of AcPm2Zn2Ge2 at the PBE level of DFT.

Output
As for the energy of formation: -0.4592 eV/atom. The value obtained for the total magnetization is 0.00 μB per formula unit.

a = 4.2446 Å, b = 4.2446 Å, c = 12.0901 Å
α = 79.89°, β = 79.89°, γ = 60.00°
Last column: nearest neighbours and their distance in Å.
Positions (direct):
1 Ge 0.2633 0.2633 0.2102  3 Zn 2.46
2 Pm 0.1247 0.1247 0.6259  3 Ge 3.13, 3 Zn 3.26
3 Zn 0.6025 0.6025 0.1924  3 Ge 2.46
4 Ge 0.7367 0.7367 0.7898  3 Zn 2.46
5 Ac 0.0000 0.0000 0.0000  6 Zn 3.35, 6 Ge 3.49
6 Zn 0.3975 0.3975 0.8076  3 Ge 2.46
7 Pm 0.8753 0.8753 0.3741  3 Ge 3.13, 3 Zn 3.26

---

[3]
Computed, not measured: an optimized crystal structure of Ac2Pr3Ge2 at the PBE level of DFT.

Output
As for the energy of formation: -0.4777 eV/atom. The value obtained for the total magnetization is 0.00 μB per formula unit.

a = 4.4203 Å, b = 6.6762 Å, c = 9.0506 Å
α = 111.31°, β = 90.00°, γ = 109.33°
Last column: nearest neighbours and their distance in Å.
Positions (direct):
1 Ac 0.8462 0.6923 0.1923  3 Ge 3.30-3.66
2 Pr 0.3694 0.7388 0.5567  3 Ge 3.14-3.21
3 Pr 0.5000 0.0000 0.0000  4 Ge 3.11
4 Ge 0.8411 0.6821 0.7848  5 Pr 3.11-3.21, 2 Ac 3.30
5 Ge 0.1589 0.3179 0.2152  5 Pr 3.11-3.21, 2 Ac 3.30
6 Pr 0.6306 0.2612 0.4433  3 Ge 3.14-3.21
7 Ac 0.1538 0.3077 0.8077  3 Ge 3.30-3.66

---

[4]
Computed, not measured: an optimized crystal structure of Ac5Pr5Ge6 at the PBE level of DFT.

Output
As for the energy of formation: -0.6251 eV/atom. The value obtained for the total magnetization is 0.00 μB per formula unit.

a = 6.9219 Å, b = 9.1790 Å, c = 9.1790 Å
α = 119.61°, β = 90.00°, γ = 90.00°
Last column: nearest neighbours and their distance in Å.
Positions (direct):
1 Ac 0.0000 0.0005 0.7496  3 Ge 3.20-3.30
2 Ge 0.0000 0.5983 0.5983  5 Pr 3.17-3.26, 2 Ac 3.24
3 Pr 0.2487 0.3340 0.6640  6 Ge 3.26-3.39, 2 Pr 3.44-3.48
4 Ac 0.0000 0.7496 0.0005  3 Ge 3.20-3.30
5 Pr 0.2487 0.6640 0.3340  6 Ge 3.26-3.39, 2 Pr 3.44-3.48
6 Ge 0.0000 0.3943 0.0079  5 Pr 3.11-3.39, 2 Ac 3.20-3.30
7 Ac 0.5000 0.2504 0.0005  3 Ge 3.19-3.23
8 Ac 0.5000 0.0005 0.2504  3 Ge 3.19-3.23
9 Ge 0.0000 0.0079 0.3943  5 Pr 3.11-3.39, 2 Ac 3.20-3.30
10 Pr 0.0000 0.2548 0.2548  3 Ge 3.11-3.17
11 Ge 0.5000 0.0003 0.6025  3 Ac 3.19-3.23, 4 Pr 3.32-3.33
12 Ac 0.5000 0.7485 0.7485  3 Ge 3.19-3.25
13 Ge 0.5000 0.6025 0.0003  3 Ac 3.19-3.23, 4 Pr 3.32-3.33
14 Pr 0.7513 0.6640 0.3340  6 Ge 3.26-3.39, 2 Pr 3.44-3.48
15 Pr 0.7513 0.3340 0.6640  6 Ge 3.26-3.39, 2 Pr 3.44-3.48
16 Ge 0.5000 0.3965 0.3965  3 Ac 3.19-3.25, 4 Pr 3.28

---

[5]
Computed, not measured: an optimized crystal structure of Ac2PrGe2 at the PBE level of DFT.

Output
The value obtained for the excess energy over the best structure of this formula in the dataset is 29 meV/atom. As for the energy of formation: -0.6334 eV/atom. The value obtained for the total magnetization is 0.00 μB per formula unit.

a = 4.6402 Å, b = 7.0322 Å, c = 10.6672 Å
α = 78.78°, β = 77.44°, γ = 70.74°
Last column: nearest neighbours and their distance in Å.
Positions (direct):
1 Ge 0.8883 0.6679 0.5554  1 Ge 2.64
2 Ge 0.9922 0.1243 0.8914  1 Ge 2.62
3 Ac 0.6786 0.7311 0.9116  4 Ge 3.32-3.48
4 Ac 0.4853 0.3408 0.6886  6 Ge 3.33-3.45
5 Ac 0.3214 0.2689 0.0884  4 Ge 3.32-3.48
6 Pr 0.7740 0.0850 0.3671  4 Ge 3.01-3.19
7 Ge 0.0078 0.8757 0.1086  1 Ge 2.62
8 Ge 0.1117 0.3321 0.4446  1 Ge 2.64
9 Ac 0.5147 0.6592 0.3114  6 Ge 3.33-3.45
10 Pr 0.2260 0.9150 0.6329  4 Ge 3.01-3.19

---

[6]
Computed, not measured: an optimized crystal structure of AcPrGe at the PBE level of DFT.

Output
The value obtained for the excess energy over the best structure of this formula in the dataset is 0 meV/atom. As for the energy of formation: -0.5582 eV/atom. The value obtained for the total magnetization is 0.38 μB per formula unit.

a = 4.6138 Å, b = 8.3985 Å, c = 8.3984 Å
α = 120.00°, β = 90.00°, γ = 90.00°
Last column: nearest neighbours and their distance in Å.
Positions (direct):
1 Ge 0.0000 0.6667 0.3333  3 Pr 3.17, 6 Ac 3.43
2 Ac 0.5000 0.0000 0.5886  5 Ge 3.43-3.46, 6 Pr 3.61-3.80
3 Ac 0.5000 0.5885 0.0000  5 Ge 3.43-3.46, 6 Pr 3.61-3.80
4 Pr 0.0000 0.7423 0.7423  4 Ge 3.16-3.17
5 Pr 0.0000 0.0000 0.2577  4 Ge 3.16-3.17
6 Ge 0.5000 0.0000 0.0000  6 Pr 3.16, 3 Ac 3.46
7 Ac 0.5000 0.4114 0.4114  5 Ge 3.43-3.46, 6 Pr 3.61-3.80
8 Ge 0.0000 0.3333 0.6667  3 Pr 3.17, 6 Ac 3.43
9 Pr 0.0000 0.2577 0.0000  4 Ge 3.16-3.17

---

[7]
Computed, not measured: an optimized crystal structure of AcPr3Ge at the PBE level of DFT.

Output
As for the energy of formation: -0.2623 eV/atom. The value obtained for the total magnetization is 0.00 μB per formula unit.

a = 8.8233 Å, b = 8.9914 Å, c = 10.0666 Å
α = 121.82°, β = 90.00°, γ = 90.00°
Last column: nearest neighbours and their distance in Å.
Positions (direct):
1 Ac 0.5649 0.6897 0.7829  2 Ge 3.27-3.41, 2 Pr 3.48-3.64
2 Pr 0.8903 0.9269 0.6866  2 Ge 3.05-3.11
3 Ge 0.2291 0.9094 0.4915  5 Pr 3.05-3.27, 2 Ac 3.27-3.41
4 Ac 0.0649 0.3103 0.7171  2 Ge 3.27-3.41, 2 Pr 3.48-3.64
5 Pr 0.4482 0.2299 0.5440  2 Ge 3.06-3.27
6 Ge 0.7291 0.0906 0.0085  5 Pr 3.05-3.27, 2 Ac 3.27-3.41
7 Pr 0.9482 0.7701 0.9560  2 Ge 3.06-3.27
8 Pr 0.1097 0.0731 0.3134  2 Ge 3.05-3.11
9 Pr 0.0518 0.2299 0.0440  2 Ge 3.06-3.27
10 Pr 0.8065 0.3746 0.4149  1 Ge 3.17
11 Ge 0.7709 0.0906 0.5085  5 Pr 3.05-3.27, 2 Ac 3.27-3.41
12 Pr 0.1935 0.6254 0.5851  1 Ge 3.17
13 Ac 0.4351 0.3103 0.2171  2 Ge 3.27-3.41, 2 Pr 3.48-3.64
14 Pr 0.3065 0.6254 0.0851  1 Ge 3.17
15 Ac 0.9351 0.6897 0.2829  2 Ge 3.27-3.41, 2 Pr 3.48-3.64
16 Pr 0.6935 0.3746 0.9149  1 Ge 3.17
17 Ge 0.2709 0.9094 0.9915  5 Pr 3.05-3.27, 2 Ac 3.27-3.41
18 Pr 0.5518 0.7701 0.4560  2 Ge 3.06-3.27
19 Pr 0.3903 0.0731 0.8134  2 Ge 3.05-3.11
20 Pr 0.6097 0.9269 0.1866  2 Ge 3.05-3.11

---

[8]
Computed, not measured: an optimized crystal structure of AcPrGe2 at the PBE level of DFT.

Output
As for the energy of formation: -0.6059 eV/atom. The value obtained for the total magnetization is 0.00 μB per formula unit.

a = 4.0389 Å, b = 4.0389 Å, c = 6.7213 Å
α = 90.00°, β = 90.00°, γ = 90.00°
Last column: nearest neighbours and their distance in Å.
Positions (direct):
1 Ac 0.5000 0.5000 0.0000  2 Pr 3.36, 8 Ge 3.49
2 Pr 0.5000 0.5000 0.5000  8 Ge 3.16, 2 Ac 3.36
3 Ge 0.0000 0.0000 0.2975  1 Ge 2.72
4 Ge 0.0000 0.0000 0.7025  1 Ge 2.72

---

[9]
Computed, not measured: an optimized crystal structure of Ac3Pr2Ge3 at the PBE level of DFT.

Output
As for the energy of formation: -0.4571 eV/atom. The value obtained for the total magnetization is 0.00 μB per formula unit.

a = 4.3023 Å, b = 4.8809 Å, c = 12.5531 Å
α = 101.21°, β = 99.87°, γ = 90.00°
Last column: nearest neighbours and their distance in Å.
Positions (direct):
1 Ge 0.1582 0.1582 0.3164  4 Pr 3.12-3.30, 4 Ac 3.41
2 Ge 0.0000 0.5000 0.0000  8 Ac 3.25-3.55
3 Pr 0.2385 0.7385 0.4771  4 Ge 3.12-3.30, 4 Pr 3.30
4 Ge 0.8418 0.8418 0.6836  4 Pr 3.12-3.30, 4 Ac 3.41
5 Pr 0.7615 0.2615 0.5229  4 Ge 3.12-3.30, 4 Pr 3.30
6 Ac 0.6164 0.6164 0.2327  6 Ge 3.41-3.55, 2 Pr 3.66, 2 Ac 3.73
7 Ac 0.3836 0.3836 0.7673  6 Ge 3.41-3.55, 2 Pr 3.66, 2 Ac 3.73
8 Ac 0.5000 0.0000 0.0000  4 Ge 3.25

---

[10]
Computed, not measured: an optimized crystal structure of AcPrGe at the PBE level of DFT.

Output
The value obtained for the excess energy over the best structure of this formula in the dataset is 106 meV/atom. As for the energy of formation: -0.4518 eV/atom. The value obtained for the total magnetization is 0.00 μB per formula unit.

a = 5.2544 Å, b = 5.2544 Å, c = 5.2544 Å
α = 60.00°, β = 60.00°, γ = 60.00°
Last column: nearest neighbours and their distance in Å.
Positions (direct):
1 Ge 0.2500 0.2500 0.2500  4 Ac 3.22, 4 Pr 3.22
2 Ac 0.0000 0.0000 0.0000  4 Ge 3.22
3 Pr 0.5000 0.5000 0.5000  4 Ge 3.22

---

[11]
Computed, not measured: an optimized crystal structure of AcPrGe at the PBE level of DFT.

Output
The value obtained for the excess energy over the best structure of this formula in the dataset is 164 meV/atom. As for the energy of formation: -0.3939 eV/atom. The value obtained for the total magnetization is 0.18 μB per formula unit.

a = 6.0641 Å, b = 8.6394 Å, c = 8.6394 Å
α = 90.00°, β = 90.00°, γ = 90.00°
Last column: nearest neighbours and their distance in Å.
Positions (direct):
1 Ac 0.0000 0.7560 0.0000  2 Ge 3.09
2 Ge 0.5000 0.2498 0.5000  4 Pr 3.01-3.03, 2 Ac 3.09
3 Ac 0.0000 0.2440 0.0000  2 Ge 3.09
4 Ac 0.5000 0.0000 0.7560  2 Ge 3.09
5 Pr 0.5000 0.5000 0.2569  4 Ge 3.01-3.03
6 Ge 0.5000 0.7502 0.5000  4 Pr 3.01-3.03, 2 Ac 3.09
7 Ge 0.0000 0.5000 0.7502  4 Pr 3.01-3.03, 2 Ac 3.09
8 Pr 0.0000 0.7431 0.5000  4 Ge 3.01-3.03
9 Pr 0.0000 0.2569 0.5000  4 Ge 3.01-3.03
10 Ac 0.5000 0.0000 0.2440  2 Ge 3.09
11 Pr 0.5000 0.5000 0.7431  4 Ge 3.01-3.03
12 Ge 0.0000 0.5000 0.2498  4 Pr 3.01-3.03, 2 Ac 3.09

---

[12]
Computed, not measured: an optimized crystal structure of AcPrGe2 at the PBE level of DFT.

Output
As for the energy of formation: -0.5437 eV/atom. The value obtained for the total magnetization is 0.00 μB per formula unit.

a = 4.2178 Å, b = 5.1103 Å, c = 5.1103 Å
α = 90.00°, β = 90.00°, γ = 90.00°
Last column: nearest neighbours and their distance in Å.
Positions (direct):
1 Ge 0.0000 0.0000 0.5000  4 Pr 3.31, 4 Ac 3.31, 4 Ge 3.61
2 Ge 0.0000 0.5000 0.0000  4 Ac 3.31, 4 Pr 3.31, 4 Ge 3.61
3 Pr 0.5000 0.0000 0.0000  8 Ge 3.31, 4 Ac 3.61
4 Ac 0.5000 0.5000 0.5000  8 Ge 3.31, 4 Pr 3.61